(1)
20
Lattice="8.3285 0.0000 0.0000 0.0000 7.9537 0.0000 -3.2980 0.0000 7.6937" Properties=species:S:1:pos:R:3 comment="Ce3ReHg | Alexandria via LeMat-Bulk | PBE-GGA | optimized geometry" final_energy_ev_per_cell=-122.92 volume_a3_per_atom=25.5 ef_ev_per_atom=-0.04 sg="P2_1/c (14)" pbc="T T T"
Ce -0.6552 0.3531 2.3806
Ce -2.3042 3.6237 6.2274
Ce 1.6238 0.7357 0.6548
Ce -0.0251 3.2412 4.5016
Ce 0.0936 5.6551 7.3733
Ce 1.7426 6.2754 3.5265
Ce 3.2880 1.6783 4.1672
Ce 4.9369 2.2986 0.3203
Ce 5.0557 4.7125 3.1921
Ce 3.4067 7.2180 7.0389
Ce 7.3347 4.3300 1.4662
Ce 5.6857 7.6006 5.3131
Re -0.8144 5.8834 4.3678
Re 0.8346 6.0471 0.5209
Re 4.1960 1.9066 7.1728
Re 5.8450 2.0703 3.3259
Hg 0.4927 0.3828 5.6796
Hg 2.1417 3.5940 1.8327
Hg 2.8889 4.3597 5.8609
Hg 4.5379 7.5709 2.0141

(2)
16
Lattice="7.2115 -4.1654 0.0000 7.2115 4.1654 0.0000 -4.8139 0.0000 7.5757" Properties=species:S:1:pos:R:3 comment="Pr8GaRu3Cl4 | Alexandria via LeMat-Bulk | PBE-GGA | optimized geometry" final_energy_ev_per_cell=-90.92 volume_a3_per_atom=28.4 sg="C2/m (12)" e_form_raw_ev_per_fu=-14.44 pbc="T T T"
Pr 3.5501 2.1762 5.3282
Pr -0.0016 0.0000 5.4189
Pr 2.2924 0.0000 2.2477
Pr 6.0589 2.1762 2.2475
Pr 3.5501 -2.1762 5.3282
Pr 7.3166 0.0000 5.3279
Pr 9.6106 0.0000 2.1568
Pr 6.0589 -2.1762 2.2475
Ga 4.8045 0.0000 3.7878
Ru -2.4070 0.0000 3.7878
Ru 1.1988 2.0827 3.7878
Ru 1.1988 -2.0827 3.7878
Cl 0.0000 0.0000 0.0000
Cl 3.6057 2.0827 0.0000
Cl 3.6057 -2.0827 0.0000
Cl 7.2115 0.0000 0.0000

(3)
4
Lattice="-1.5520 2.2691 6.3181 1.5520 -2.2691 6.3181 1.5520 2.2691 -6.3181" Properties=species:S:1:pos:R:3 comment="OsPtPb2 | Alexandria via LeMat-Bulk | PBE-GGA | optimized geometry" final_energy_ev_per_cell=-22.57 volume_a3_per_atom=22.3 ef_ev_per_atom=0.53 sg="Imm2 (44)" e_above_lowest_polymorph_mev_per_atom=136 pbc="T T T"
Os 0.0000 0.0000 0.0000
Pt 0.0000 2.2691 4.1101
Pb 1.5520 0.0000 2.7121
Pb 0.0000 0.0000 6.2349

(4)
12
Lattice="3.9806 0.0000 0.0000 0.0000 5.2059 0.0000 0.0000 0.0000 8.8247" Properties=species:S:1:pos:R:3 comment="Sr2Cu5Ni5 | Alexandria via LeMat-Bulk | PBE-GGA | optimized geometry" final_energy_ev_per_cell=-53.29 volume_a3_per_atom=15.2 ef_ev_per_atom=-0.04 sg="Pmmm (47)" e_above_lowest_polymorph_mev_per_atom=25 pbc="T T T"
Sr 0.0000 0.0000 0.0000
Sr 0.0000 2.6029 4.4124
Cu 1.9903 0.0000 4.4124
Cu 1.9903 1.3069 2.1885
Cu 1.9903 1.3069 6.6362
Cu 1.9903 3.8990 2.1885
Cu 1.9903 3.8990 6.6362
Ni 0.0000 0.0000 2.9651
Ni 0.0000 0.0000 5.8597
Ni 0.0000 2.6029 1.3740
Ni 0.0000 2.6029 7.4507
Ni 1.9903 2.6029 0.0000